Density functional theory data (GGA+U) for a relaxed structure of MnNbO2F.

Results
Theoretical density, g cm⁻³: 4.7
E, eV/atom: -7.531

Cell and atoms, written as extended XYZ:
```
5
Lattice="4.0446 0.0000 0.0000 0.0000 4.0446 0.0000 0.0000 0.0000 4.3117" Properties=species:S:1:pos:R:3 pbc="T T T"
Mn 0.0000 0.0000 0.0000
Nb 2.0223 2.0223 2.1558
O 0.0000 2.0223 2.1558
O 2.0223 0.0000 2.1558
F 2.0223 2.0223 0.0000
```